Pa4Ge8Mo, relaxed, DFT PBE-GGA; magnetic moment = 0.00 μB/cell; ρ = 9.76 g/cm3; total DFT energy (no corrections) = -6.94 eV per atom; DFT formation energy = -0.35 eV/atom
1.0
4.069 0.000 0.000
0.000 4.071 0.000
0.000 0.000 16.444
Pa Ge Mo
4 8 1
Cartesian
0.000 0.000 0.000
0.000 2.035 7.836
2.035 0.000 12.699
2.035 2.035 4.512
0.000 0.000 5.237
0.000 0.000 9.993
0.000 2.035 2.267
0.000 2.035 14.082
2.035 0.000 2.238
2.035 0.000 7.032
2.035 2.035 9.989
2.035 2.035 15.676
0.000 2.035 11.608